[1]
ScUCo | PBE | relaxed

Total moment in μB/cell: 11.39
E above lowest polymorph in eV per formula unit: 0.00
Energy of formation from the pure elements in eV per atom: 0.284

a = 6.280 Å, b = 6.280 Å, c = 6.280 Å
α = 90.00°, β = 90.00°, γ = 90.00°
Space group F-43m (No. 216)
Inequivalent atoms, fractional coordinates:
Sc (0.000, 0.000, 0.000) x4
U (0.000, 0.000, 0.500) x4
Co (0.250, 0.250, 0.250) x4

[2]
YNi2Ge | PBE | relaxed

Total energy in eV per atom: -6.13
Total moment in μB/cell: 0.00

a = 5.184 Å, b = 4.078 Å, c = 6.612 Å
α = 90.00°, β = 107.51°, γ = 90.00°
Space group P2_1/m (No. 11)
Inequivalent atoms, fractional coordinates:
Y (0.242, 0.250, 0.245) x2
Ni (0.154, 0.750, 0.547) x2
Ni (0.347, 0.750, 0.949) x2
Ge (0.262, 0.250, 0.744) x2

[3]
TlAgWSe2S | PBE | relaxed

Total energy in eV per atom: -4.92
Total moment in μB/cell: 5.54

a = 3.591 Å, b = 15.192 Å, c = 10.034 Å
α = 90.00°, β = 90.00°, γ = 90.00°
Space group Cmcm (No. 63)
Inequivalent atoms, fractional coordinates:
Tl (0.000, 0.241, 0.250) x4
Ag (0.000, 0.063, 0.750) x4
W (0.000, 0.500, 0.000) x4
Se (0.000, 0.124, 0.514) x8
S (0.000, 0.443, 0.750) x4

[4]
NaAgSe | PBE | relaxed

Total energy in eV per atom: -3.16

a = 4.239 Å, b = 4.239 Å, c = 7.242 Å
α = 90.00°, β = 90.00°, γ = 90.00°
Space group P4/nmm (No. 129, origin choice 2)
Inequivalent atoms, fractional coordinates:
Na (0.250, 0.250, 0.159) x2
Ag (0.250, 0.750, 0.500) x2
Se (0.250, 0.250, 0.753) x2

[5]
TbPrGa4Ir2 | PBE | relaxed

Total energy in eV per atom: -5.61
Total moment in μB/cell: 0.00

a = 4.226 Å, b = 7.120 Å, c = 5.623 Å
α = 90.00°, β = 111.59°, γ = 90.00°
Space group Pm (No. 6)
Inequivalent atoms, fractional coordinates:
Tb (0.000, 0.000, 0.000) x1
Pr (0.861, 0.500, 0.721) x1
Ga (0.282, 0.194, 0.560) x2
Ga (0.577, 0.300, 0.157) x2
Ir (0.140, 0.500, 0.285) x1
Ir (0.721, 0.000, 0.435) x1

[6]
Pr2Si4NiIr | PBE | relaxed

Total energy in eV per atom: -6.57
Total moment in μB/cell: 0.02

a = 4.165 Å, b = 4.236 Å, c = 16.605 Å
α = 90.00°, β = 90.00°, γ = 90.00°
Space group Amm2 (No. 38)
Inequivalent atoms, fractional coordinates:
Pr (0.000, 0.000, 0.000) x2
Pr (0.500, 0.000, 0.211) x2
Si (0.000, 0.000, 0.361) x2
Si (0.000, 0.000, 0.645) x2
Si (0.500, 0.000, 0.565) x2
Si (0.500, 0.000, 0.861) x2
Ni (0.500, 0.000, 0.427) x2
Ir (0.000, 0.000, 0.788) x2

[7]
HfTlOs | PBE | relaxed

Total energy in eV per atom: -6.85
Total moment in μB/cell: 2.93

a = 6.413 Å, b = 6.413 Å, c = 6.413 Å
α = 90.00°, β = 90.00°, γ = 90.00°
Space group F-43m (No. 216)
Inequivalent atoms, fractional coordinates:
Hf (0.000, 0.000, 0.000) x4
Tl (0.250, 0.250, 0.250) x4
Os (0.000, 0.000, 0.500) x4

[8]
NaGeIrPb | PBE | relaxed

Total moment in μB/cell: 0.02
E above lowest polymorph in eV per formula unit: 0.00

a = 6.705 Å, b = 6.705 Å, c = 6.705 Å
α = 90.00°, β = 90.00°, γ = 90.00°
Space group F-43m (No. 216)
Inequivalent atoms, fractional coordinates:
Na (0.000, 0.000, 0.000) x4
Ge (0.250, 0.250, 0.750) x4
Ir (0.000, 0.000, 0.500) x4
Pb (0.250, 0.250, 0.250) x4

[9]
RbPuZr | PBE | relaxed

Total energy in eV per atom: -6.25
Total moment in μB/cell: 43.64

a = 7.972 Å, b = 7.972 Å, c = 7.972 Å
α = 90.00°, β = 90.00°, γ = 90.00°
Space group F-43m (No. 216)
Inequivalent atoms, fractional coordinates:
Rb (0.000, 0.000, 0.000) x4
Pu (0.250, 0.250, 0.750) x4
Zr (0.000, 0.000, 0.500) x4

[10]
Ho2ErSn3IrPd2 | PBE | relaxed

Total energy in eV per atom: -5.91
Total moment in μB/cell: 0.02

a = 3.839 Å, b = 13.195 Å, c = 7.622 Å
α = 90.00°, β = 90.00°, γ = 90.00°
Space group Amm2 (No. 38)
Inequivalent atoms, fractional coordinates:
Ho (0.000, 0.200, 0.000) x4
Er (0.000, 0.000, 0.598) x2
Sn (0.500, 0.000, 0.938) x2
Sn (0.500, 0.131, 0.330) x4
Ir (0.000, 0.000, 0.200) x2
Pd (0.500, 0.166, 0.699) x4

[11]
UTaAl | PBE | relaxed

Total moment in μB/cell: 9.85
E above lowest polymorph in eV per formula unit: 0.00

a = 6.447 Å, b = 6.447 Å, c = 6.447 Å
α = 90.00°, β = 90.00°, γ = 90.00°
Space group F-43m (No. 216)
Inequivalent atoms, fractional coordinates:
U (0.000, 0.000, 0.000) x4
Ta (0.000, 0.000, 0.500) x4
Al (0.250, 0.250, 0.750) x4

[12]
SmTlAgTe3 | PBE | relaxed

Total moment in μB/cell: 0.02
E above lowest polymorph in eV per formula unit: 0.00

a = 4.287 Å, b = 15.517 Å, c = 11.571 Å
α = 90.00°, β = 90.00°, γ = 90.00°
Space group Cmcm (No. 63)
Inequivalent atoms, fractional coordinates:
Sm (0.000, 0.000, 0.000) x4
Tl (0.000, 0.239, 0.250) x4
Ag (0.000, 0.465, 0.750) x4
Te (0.000, 0.083, 0.750) x4
Te (0.000, 0.358, 0.554) x8